{
  "formula": "SiHgAs2Br",
  "functional": "PBEsol",
  "state": "optimized geometry",
  "lattice_angstrom": [[5.081, 0.000, 0.000], [0.000, 5.081, 0.000], [0.000, 0.000, 5.374]],
  "species": ["As", "As", "Si", "Hg", "Br"],
  "fractional_positions": [[0.000, 0.500, 0.000], [0.500, 0.000, 0.000], [0.500, 0.500, 0.500], [0.000, 0.000, 0.000], [0.000, 0.000, 0.500]],
  "spacegroup": "No. 123",
  "final_energy_ev_per_atom": -2.55,
  "total_magnetization_mub_per_cell": 0.60,
  "volume_a3_per_atom": 27.74,
  "n_ef_per_ev_atom": 1.1712
}

{
  "formula": "SnHg6As4Br6",
  "functional": "PBEsol",
  "state": "optimized geometry",
  "lattice_angstrom": [[12.433, 0.000, 0.000], [0.000, 12.433, 0.000], [0.000, 0.000, 12.433]],
  "species": ["Sn", "Sn", "Sn", "Sn", "Hg", "Hg", "Hg", "Hg", "Hg", "Hg", "Hg", "Hg", "Hg", "Hg", "Hg", "Hg", "Hg", "Hg", "Hg", "Hg", "Hg", "Hg", "Hg", "Hg", "Hg", "Hg", "Hg", "Hg", "As", "As", "As", "As", "As", "As", "As", "As", "As", "As", "As", "As", "As", "As", "As", "As", "Br", "Br", "Br", "Br", "Br", "Br", "Br", "Br", "Br", "Br", "Br", "Br", "Br", "Br", "Br", "Br", "Br", "Br", "Br", "Br", "Br", "Br", "Br", "Br"],
  "fractional_positions": [[0.726, 0.274, 0.774], [0.274, 0.774, 0.726], [0.774, 0.726, 0.274], [0.226, 0.226, 0.226], [0.525, 0.764, 0.533], [0.236, 0.033, 0.975], [0.474, 0.518, 0.262], [0.967, 0.475, 0.264], [0.018, 0.238, 0.526], [0.025, 0.736, 0.467], [0.026, 0.482, 0.762], [0.533, 0.525, 0.764], [0.762, 0.026, 0.482], [0.518, 0.262, 0.474], [0.738, 0.974, 0.982], [0.482, 0.762, 0.026], [0.262, 0.474, 0.518], [0.033, 0.975, 0.236], [0.238, 0.526, 0.018], [0.526, 0.018, 0.238], [0.764, 0.533, 0.525], [0.467, 0.025, 0.736], [0.974, 0.982, 0.738], [0.975, 0.236, 0.033], [0.736, 0.467, 0.025], [0.475, 0.264, 0.967], [0.982, 0.738, 0.974], [0.264, 0.967, 0.475], [0.067, 0.933, 0.433], [0.931, 0.931, 0.931], [0.567, 0.567, 0.567], [0.456, 0.956, 0.544], [0.455, 0.455, 0.455], [0.933, 0.433, 0.067], [0.955, 0.045, 0.545], [0.044, 0.044, 0.044], [0.569, 0.069, 0.431], [0.431, 0.569, 0.069], [0.069, 0.431, 0.569], [0.045, 0.545, 0.955], [0.545, 0.955, 0.045], [0.956, 0.544, 0.456], [0.544, 0.456, 0.956], [0.433, 0.067, 0.933], [0.708, 0.050, 0.739], [0.792, 0.950, 0.239], [0.450, 0.261, 0.208], [0.550, 0.761, 0.292], [0.296, 0.978, 0.231], [0.208, 0.450, 0.261], [0.022, 0.731, 0.204], [0.478, 0.269, 0.704], [0.978, 0.231, 0.296], [0.239, 0.792, 0.950], [0.050, 0.739, 0.708], [0.269, 0.704, 0.478], [0.261, 0.208, 0.450], [0.761, 0.292, 0.550], [0.769, 0.796, 0.522], [0.522, 0.769, 0.796], [0.731, 0.204, 0.022], [0.796, 0.522, 0.769], [0.950, 0.239, 0.792], [0.292, 0.550, 0.761], [0.739, 0.708, 0.050], [0.231, 0.296, 0.978], [0.204, 0.022, 0.731], [0.704, 0.478, 0.269]],
  "spacegroup": "No. 198",
  "final_energy_ev_per_atom": -2.65,
  "total_magnetization_mub_per_cell": 0.00,
  "volume_a3_per_atom": 28.27
}

{
  "formula": "TaHgAsBr2",
  "functional": "PBEsol",
  "state": "optimized geometry",
  "lattice_angstrom": [[5.206, 0.000, 0.000], [0.000, 5.176, 0.000], [0.000, 0.000, 5.176]],
  "species": ["As", "Hg", "Br", "Br", "Ta"],
  "fractional_positions": [[0.500, 0.000, 0.000], [0.000, 0.000, 0.000], [0.000, 0.000, 0.500], [0.000, 0.500, 0.000], [0.500, 0.500, 0.500]],
  "spacegroup": "No. 123",
  "final_energy_ev_per_atom": -3.04,
  "total_magnetization_mub_per_cell": 2.29,
  "volume_a3_per_atom": 27.90,
  "n_ef_per_ev_atom": 1.1056
}